First-principles (PBE with a Hubbard U) data for RbMnNiF6 after structural relaxation, as listed in Alexandria via LeMat-Bulk.

Geometry as POSCAR:
```
RbMnNiF6
1.0
5.3304 0.0000 0.0000
-2.5558 4.6848 0.0000
-0.0470 -0.0596 6.0928
Rb Mn Ni F
1 1 1 6
direct
0.0000 0.0000 0.0000
0.6672 0.3328 0.5001
0.3306 0.6700 0.5002
0.0098 0.6244 0.3082
0.3769 0.9899 0.6927
0.3893 0.3685 0.3232
0.6321 0.6100 0.6772
0.6343 0.0155 0.3289
0.9854 0.3655 0.6711
```

Results
size of the total moment: 6.00 μB/f.u.
space group: P1, No. 1
E: -44.5 eV for the cell shown